Cs4RbCu3Br12: optimized geometry, GGA-PBE.

Structure (POSCAR):
```
Cs4RbCu3Br12
1.0
-4.631 -6.116 -5.776
7.631 -4.383 3.844
-5.903 2.880 7.006
Br Cs Cu Rb
12 4 3 1
Cartesian
0.497 -0.432 3.118
2.138 -7.482 -1.377
-1.770 -1.560 5.732
-4.835 -1.994 3.327
-3.028 -0.930 0.353
-1.134 -6.058 -0.659
1.614 -3.376 4.942
-7.507 -2.306 0.876
1.932 -5.625 1.746
1.231 -1.071 7.731
0.862 -3.017 -0.555
-4.517 -4.243 0.132
-1.452 -3.809 2.537
3.816 -2.191 1.922
-2.952 1.440 3.503
-2.316 -3.058 -2.888
-5.267 -1.618 0.615
1.500 -5.249 -0.966
0.864 -0.751 5.425
0.000 0.000 0.000
```

ρ = 4.303 g/cm3
Energy = -2.831 eV/atom
Formation energy (no corrections) = -0.99 eV per atom
Space-group type = No. 229
M_tot = 0.000 μB/f.u.